No. 1
Here is CsYCd2C after structural relaxation from Alexandria via LeMat-Bulk. Energies are from PBE-GGA.

a = 6.031 Å, b = 6.031 Å, c = 4.577 Å
α = 90.00°, β = 90.00°, γ = 90.00°
Element x y z (fractional)
Cs1 0.000 0.000 0.000
Y1 0.500 0.500 0.500
Cd1 0.000 0.500 0.000
Cd2 0.500 0.000 0.000
C1 0.000 0.000 0.500

Summary:
Energy of formation from the pure elements in eV per atom: 1.764


No. 2
Here is KTaIn2 after structural relaxation from Alexandria via LeMat-Bulk. Energies are from PBE-GGA.

a = 6.842 Å, b = 6.842 Å, c = 6.842 Å
α = 154.23°, β = 124.25°, γ = 62.40°
Element x y z (fractional)
K1 0.000 0.000 0.000
Ta1 0.500 0.500 0.000
In1 0.285 0.785 0.500
In2 0.715 0.215 0.500

Summary:
E above lowest polymorph in meV/atom: 502
Energy of formation from the pure elements in eV per atom: 0.739


No. 3
Here is Ce4PuPb after structural relaxation from Alexandria via LeMat-Bulk. Energies are from PBE-GGA.

a = 7.161 Å, b = 7.161 Å, c = 8.747 Å
α = 111.98°, β = 111.98°, γ = 52.04°
Element x y z (fractional)
Ce1 0.125 0.780 0.573
Ce2 0.195 0.351 0.848
Ce3 0.220 0.875 0.927
Ce4 0.351 0.195 0.348
Ce5 0.649 0.805 0.652
Ce6 0.780 0.125 0.073
Ce7 0.805 0.649 0.152
Ce8 0.875 0.220 0.427
Pu1 0.000 0.500 0.500
Pu2 0.500 0.000 0.000
Pb1 0.338 0.662 0.250
Pb2 0.662 0.338 0.750

Summary:
E above lowest polymorph in meV/atom: 98
Energy of formation from the pure elements in eV per atom: -0.088